# LiH4Pd5, relaxed, DFT PBE
# Magnetization   0.0 μB per cell
# Calculated volume   198.9 Å³ per cell
# Mass density   9.1 Mg/m³
# N(E_F)   4.27 states/eV/f.u.
# ΔE to the lowest computed polymorph   0.0000 eV/atom
data_LiH4Pd5
_cell_length_a 12.189
_cell_length_b 2.928
_cell_length_c 5.745
_cell_angle_alpha 90.00
_cell_angle_beta 104.00
_cell_angle_gamma 90.00
_space_group_name_H-M_alt 'C 1 2/m 1'
_space_group_IT_number 12
loop_
_space_group_symop_operation_xyz
'x,y,z'
'-x,-y,-z'
'-x,y,-z'
'x,-y,z'
'x+1/2,y+1/2,z'
'-x+1/2,-y+1/2,-z'
'-x+1/2,y+1/2,-z'
'x+1/2,-y+1/2,z'
loop_
_atom_site_label
_atom_site_type_symbol
_atom_site_fract_x
_atom_site_fract_y
_atom_site_fract_z
_atom_site_occupancy
Li1 Li 0.000 0.000 0.000 1
H1 H 0.001 0.500 0.713 1
H2 H 0.177 0.000 0.120 1
Pd1 Pd 0.000 0.000 0.500 1
Pd2 Pd 0.163 0.500 0.327 1
Pd3 Pd 0.163 0.500 0.834 1